Compound: Mn5VRe2B2
Source: Alexandria via LeMat-Bulk
Functional: GGA-PBE
Structure: relaxed

Cell: 2.831 8.661 8.661 Å, 90.00 90.00 90.00°
Element x y z (fractional)
Mn: 0.500 0.500 0.000
Mn: 0.500 0.434 0.286
Mn: 0.500 0.566 0.714
Mn: 0.500 0.066 0.786
Mn: 0.500 0.214 0.066
Mn: 0.500 0.934 0.214
Mn: 0.500 0.714 0.434
Mn: 0.500 0.000 0.500
Mn: 0.500 0.286 0.566
Mn: 0.500 0.786 0.934
B: 0.000 0.623 0.877
B: 0.000 0.377 0.123
B: 0.000 0.123 0.623
B: 0.000 0.877 0.377
V: 0.000 0.000 0.000
V: 0.000 0.500 0.500
Re: 0.000 0.322 0.822
Re: 0.000 0.822 0.678
Re: 0.000 0.678 0.178
Re: 0.000 0.178 0.322

Summary:
Symmetry: P4/mbm
E_tot (Ry/atom): -0.7053
Theoretical density (g cm⁻³): 11.3
V (Å³/atom): 10.62

=====

Compound: Mn3BRh
Source: Alexandria via LeMat-Bulk
Functional: GGA-PBE
Structure: relaxed

Cell: 3.834 3.834 3.834 Å, 90.00 90.00 90.00°
Last column: magnetic moment on the atom in μB.
Element x y z (fractional)
Mn: 0.000 0.500 0.000  1.44
Mn: 0.000 0.000 0.500  1.60
Mn: 0.500 0.000 0.000  1.11
Rh: 0.500 0.500 0.500  0.05
B: 0.000 0.000 0.000  -0.12

Summary:
Polymorph energy (0 for the lowest one) (eV/f.u.): 0.00
Symmetry: Pm-3m
E_tot (Ry/atom): -0.5991
Theoretical density (g cm⁻³): 8.2
V (Å³/atom): 11.27

=====

Compound: Mn2BRh
Source: Alexandria via LeMat-Bulk
Functional: GGA-PBE
Structure: relaxed

Cell: 3.282 3.282 8.673 Å, 79.09 79.09 90.00°
Element x y z (fractional)
Mn: 0.186 0.625 0.250
Mn: 0.375 0.436 0.750
Mn: 0.875 0.814 0.750
Mn: 0.564 0.125 0.250
Rh: 0.750 0.250 0.500
Rh: 0.000 0.000 0.000
B: 0.500 0.500 0.000
B: 0.250 0.750 0.500

Summary:
Symmetry: I-42d
E_tot (Ry/atom): -0.5643
Theoretical density (g cm⁻³): 8.2
V (Å³/atom): 11.25

=====

Compound: MnB2Rh4
Source: Alexandria via LeMat-Bulk
Functional: GGA-PBE
Structure: relaxed

Cell: 4.972 5.652 7.180 Å, 110.88 102.70 105.66°
Last column: magnetic moment on the atom in μB.
Element x y z (fractional)
B: 0.475 0.331 0.223  -0.04
B: 0.142 0.393 0.580  -0.03
B: 0.769 0.446 0.831  -0.02
B: 0.472 0.846 0.217  -0.04
Rh: 0.897 0.117 0.659  0.12
Rh: 0.827 0.190 0.262  0.19
Rh: 0.389 0.177 0.454  0.22
Rh: 0.466 0.161 0.877  0.24
Rh: 0.804 0.691 0.271  0.14
Rh: 0.909 0.643 0.648  0.14
Rh: 0.491 0.673 0.873  0.24
Rh: 0.143 0.454 0.074  0.15
Mn: 0.377 0.709 0.492  3.48
Mn: 0.090 0.918 0.040  3.34

Summary:
Symmetry: P1
E_tot (Ry/atom): -0.5594
Theoretical density (g cm⁻³): 9.5
V (Å³/atom): 12.14